Compound: Rb2TiAgS4
Source: Alexandria
Functional: GGA-PBE
Structure: relaxed

Properties
DOS(E_F) in states/eV/atom: 0.868
Formation energy without anion corrections in meV/atom: -984
Calculated total energy in eV per atom: -4.633

Cell: 5.971 13.693 24.125 Å, 90.00 90.00 90.00°
Space group Fddd (No. 70, origin choice 2)
Unique sites:
Rb: 0.125 0.125 0.303 [16 per cell]
Ti: 0.125 0.125 0.125 [8 per cell]
Ag: 0.125 0.125 0.625 [8 per cell]
S: 0.093 0.278 0.429 [32 per cell]